DFT (PBE with a Hubbard U) results for a relaxed structure of AlBiW2O8.

total energy: -7.151 eV per atom
calculated volume: 314 Å³ per cell
DOS(E_F): 0.00 states/eV/atom

Cell: 5.1404 6.3243 10.6945 Å, 90.00 115.29 90.00°
Closest atoms and distances in Å follow each position.
Sites, in units of the cell vectors:
Al: 0.0000 0.2170 0.2500  4 O 1.81-1.83
Al: 0.0000 0.7830 0.7500  4 O 1.81-1.83
Bi: 0.5000 0.3757 0.7500  6 O 2.34-2.40
Bi: 0.5000 0.6243 0.2500  6 O 2.34-2.40
W: 0.2564 0.1506 0.0114  2 O 1.83-2.05
W: 0.2564 0.8494 0.5114  2 O 1.83-2.05
W: 0.7436 0.1506 0.4886  2 O 1.83-2.05
W: 0.7436 0.8494 0.9886  2 O 1.83-2.05
O: 0.1777 0.1129 0.6017  2 W 2.05
O: 0.1777 0.8871 0.1017  2 W 2.05
O: 0.1887 0.3285 0.1562  1 Al 1.81
O: 0.1887 0.6715 0.6562  1 Al 1.81
O: 0.2817 0.3656 0.9027  1 W 1.83
O: 0.2817 0.6344 0.4027  1 W 1.83
O: 0.3089 0.0808 0.3815  1 Al 1.83
O: 0.3089 0.9192 0.8815  1 Al 1.83
O: 0.6911 0.0808 0.1185  1 Al 1.83
O: 0.6911 0.9192 0.6185  1 Al 1.83
O: 0.7183 0.3656 0.5973  1 W 1.83
O: 0.7183 0.6344 0.0973  1 W 1.83
O: 0.8113 0.3285 0.3438  1 Al 1.81
O: 0.8113 0.6715 0.8438  1 Al 1.81
O: 0.8223 0.1129 0.8983  2 W 2.05
O: 0.8223 0.8871 0.3983  2 W 2.05